No. 1
DFT (PBE) results for a relaxed PbWAu2 crystal.

Values from the calculation:
magnetic moment	0.33	μB per atom
calculated density	16.69	g/cm3
ΔH_f (0 K)	775	meV/atom
N(E_F)	0.98	states/eV/atom
V	19.529	A^3/atom

Geometry as extended XYZ:
```
4
Lattice="-2.091 2.091 4.468 2.091 -2.091 4.468 2.091 2.091 -4.468" Properties=species:S:1:pos:R:3 pbc="T T T"
Pb 0.000 0.000 0.000
W 0.000 0.000 4.468
Au 2.091 0.000 2.234
Au 0.000 2.091 2.234
```



No. 2
DFT (PBE) results for a relaxed Pb2WAu crystal.

Values from the calculation:
magnetic moment	0.00	μB per atom
calculated density	14.95	g/cm3
excess energy over the best structure of this formula in the dataset	133.6	kJ/mol of formula units
ΔH_f (0 K)	811	meV/atom
N(E_F)	0.61	states/eV/atom
V	22.087	A^3/atom

Geometry as extended XYZ:
```
4
Lattice="5.208 -1.519 0.000 5.208 1.519 0.000 -0.538 0.000 5.584" Properties=species:S:1:pos:R:3 pbc="T T T"
Pb 2.335 0.000 1.351
Pb 7.543 0.000 4.233
W 5.208 0.000 0.000
Au -0.269 0.000 2.792
```



No. 3
DFT (PBE) results for a relaxed Pb2WAu crystal.

Values from the calculation:
magnetic moment	0.33	μB per atom
calculated density	15.07	g/cm3
excess energy over the best structure of this formula in the dataset	156.8	kJ/mol of formula units
ΔH_f (0 K)	872	meV/atom
N(E_F)	0.71	states/eV/atom
V	21.912	A^3/atom

Geometry as extended XYZ:
```
4
Lattice="-2.115 2.115 4.897 2.115 -2.115 4.897 2.115 2.115 -4.897" Properties=species:S:1:pos:R:3 pbc="T T T"
Pb 0.000 0.000 0.000
Pb 0.000 2.115 2.448
W 2.115 0.000 2.448
Au 0.000 0.000 4.897
```



No. 4
DFT (PBE) results for a relaxed PbWAu2 crystal.

Values from the calculation:
magnetic moment	0.00	μB per atom
calculated density	16.19	g/cm3
ΔH_f (0 K)	374	meV/atom
N(E_F)	0.71	states/eV/atom
V	20.128	A^3/atom

Geometry as extended XYZ:
```
4
Lattice="3.003 0.000 0.000 0.000 3.002 0.000 -0.110 0.000 8.930" Properties=species:S:1:pos:R:3 pbc="T T T"
Pb 0.000 0.000 0.000
W -0.055 0.000 4.465
Au 1.450 1.501 2.580
Au 1.443 1.501 6.350
```



No. 5
DFT (PBE) results for a relaxed PbWAu2 crystal.

Values from the calculation:
magnetic moment	0.14	μB per atom
calculated density	17.02	g/cm3
ΔH_f (0 K)	663	meV/atom
N(E_F)	0.65	states/eV/atom
V	19.145	A^3/atom

Geometry as extended XYZ:
```
4
Lattice="4.190 0.000 0.000 0.000 4.190 0.000 0.000 0.000 4.363" Properties=species:S:1:pos:R:3 pbc="T T T"
Pb 0.000 0.000 0.000
W 2.095 2.095 0.000
Au 0.000 2.095 2.181
Au 2.095 0.000 2.181
```



No. 6
DFT (PBE) results for a relaxed PbWAu2 crystal.

Values from the calculation:
magnetic moment	0.07	μB per atom
calculated density	16.92	g/cm3
ΔH_f (0 K)	671	meV/atom
N(E_F)	0.73	states/eV/atom
V	19.256	A^3/atom

Geometry as extended XYZ:
```
4
Lattice="3.298 0.000 0.000 0.000 4.700 0.000 0.000 0.000 4.969" Properties=species:S:1:pos:R:3 pbc="T T T"
Pb 0.000 0.000 0.000
W 1.649 2.350 0.000
Au 0.000 2.350 2.485
Au 1.649 0.000 2.485
```



No. 7
DFT (PBE) results for a relaxed Pb2WAu crystal.

Values from the calculation:
magnetic moment	0.53	μB per atom
calculated density	14.25	g/cm3
excess energy over the best structure of this formula in the dataset	209.7	kJ/mol of formula units
ΔH_f (0 K)	1009	meV/atom
N(E_F)	0.71	states/eV/atom
V	23.161	A^3/atom

Geometry as extended XYZ:
```
4
Lattice="0.000 3.591 3.591 3.591 0.000 3.591 3.591 3.591 0.000" Properties=species:S:1:pos:R:3 pbc="T T T"
Pb 0.000 0.000 0.000
Pb 1.796 1.796 1.796
W 3.591 3.591 3.591
Au 5.387 5.387 5.387
```



No. 8
DFT (PBE) results for a relaxed Pb2WAu crystal.

Values from the calculation:
magnetic moment	0.00	μB per atom
calculated density	14.28	g/cm3
excess energy over the best structure of this formula in the dataset	105.3	kJ/mol of formula units
ΔH_f (0 K)	738	meV/atom
N(E_F)	0.70	states/eV/atom
V	23.113	A^3/atom

Geometry as extended XYZ:
```
4
Lattice="1.553 0.897 11.059 -1.553 0.897 11.059 0.000 -1.794 11.059" Properties=species:S:1:pos:R:3 pbc="T T T"
Pb 0.000 0.000 8.042
Pb 0.000 0.000 25.136
W 0.000 0.000 16.589
Au 0.000 0.000 0.000
```



No. 9
DFT (PBE) results for a relaxed PbWAu2 crystal.

Values from the calculation:
magnetic moment	0.00	μB per atom
calculated density	16.24	g/cm3
ΔH_f (0 K)	494	meV/atom
N(E_F)	0.31	states/eV/atom
V	20.070	A^3/atom

Geometry as extended XYZ:
```
4
Lattice="1.518 0.876 10.056 -1.518 0.876 10.056 0.000 -1.753 10.056" Properties=species:S:1:pos:R:3 pbc="T T T"
Pb 0.000 0.000 0.000
W 0.000 0.000 7.428
Au 0.000 0.000 15.328
Au 0.000 0.000 23.053
```



No. 10
DFT (PBE) results for a relaxed Pb2WAu crystal.

Values from the calculation:
magnetic moment	0.00	μB per atom
calculated density	14.81	g/cm3
excess energy over the best structure of this formula in the dataset	73.1	kJ/mol of formula units
ΔH_f (0 K)	655	meV/atom
N(E_F)	1.01	states/eV/atom
V	22.295	A^3/atom

Geometry as extended XYZ:
```
4
Lattice="5.580 -1.516 0.000 5.580 1.516 0.000 -1.438 0.000 5.270" Properties=species:S:1:pos:R:3 pbc="T T T"
Pb 0.000 0.000 0.000
Pb 1.308 0.000 3.277
W 8.216 0.000 0.730
Au 4.212 0.000 2.466
```



No. 11
DFT (PBE) results for a relaxed Pb2WAu crystal.

Values from the calculation:
magnetic moment	0.10	μB per atom
calculated density	14.98	g/cm3
excess energy over the best structure of this formula in the dataset	125.0	kJ/mol of formula units
ΔH_f (0 K)	789	meV/atom
N(E_F)	0.83	states/eV/atom
V	22.044	A^3/atom

Geometry as extended XYZ:
```
4
Lattice="3.785 -3.791 0.000 3.785 3.791 0.000 0.000 0.000 3.072" Properties=species:S:1:pos:R:3 pbc="T T T"
Pb 1.893 1.895 0.000
Pb 1.893 -1.895 0.000
W 0.000 0.000 1.536
Au 3.785 0.000 1.536
```



No. 12
DFT (PBE) results for a relaxed PbWAu2 crystal.

Values from the calculation:
magnetic moment	0.00	μB per atom
calculated density	16.01	g/cm3
ΔH_f (0 K)	499	meV/atom
N(E_F)	0.56	states/eV/atom
V	20.359	A^3/atom

Geometry as extended XYZ:
```
4
Lattice="2.084 -2.088 0.000 2.084 2.088 0.000 0.000 0.000 9.359" Properties=species:S:1:pos:R:3 pbc="T T T"
Pb 0.000 0.000 0.000
W 2.084 0.000 6.942
Au 0.000 0.000 5.031
Au 2.084 0.000 2.922
```



No. 13
DFT (PBE) results for a relaxed Pb2WAu crystal.

Values from the calculation:
magnetic moment	0.00	μB per atom
calculated density	14.61	g/cm3
excess energy over the best structure of this formula in the dataset	54.5	kJ/mol of formula units
ΔH_f (0 K)	606	meV/atom
N(E_F)	0.64	states/eV/atom
V	22.598	A^3/atom

Geometry as extended XYZ:
```
4
Lattice="3.769 0.000 0.000 0.000 4.434 0.000 -1.876 0.000 5.409" Properties=species:S:1:pos:R:3 pbc="T T T"
Pb 0.000 0.000 0.000
Pb 0.000 2.217 3.234
W 1.882 2.217 0.821
Au 1.888 0.000 2.407
```



No. 14
DFT (PBE) results for a relaxed PbWAu2 crystal.

Values from the calculation:
magnetic moment	0.42	μB per atom
calculated density	16.60	g/cm3
ΔH_f (0 K)	799	meV/atom
N(E_F)	0.53	states/eV/atom
V	19.633	A^3/atom

Geometry as extended XYZ:
```
4
Lattice="0.000 3.399 3.399 3.399 0.000 3.399 3.399 3.399 0.000" Properties=species:S:1:pos:R:3 pbc="T T T"
Pb 0.000 0.000 0.000
W 1.699 1.699 1.699
Au 3.399 3.399 3.399
Au 5.098 5.098 5.098
```



No. 15
DFT (PBE) results for a relaxed Pb2WAu crystal.

Values from the calculation:
magnetic moment	0.10	μB per atom
calculated density	13.47	g/cm3
excess energy over the best structure of this formula in the dataset	72.2	kJ/mol of formula units
ΔH_f (0 K)	652	meV/atom
N(E_F)	0.83	states/eV/atom
V	24.517	A^3/atom

Geometry as extended XYZ:
```
4
Lattice="-1.521 2.411 6.686 1.521 -2.411 6.686 1.521 2.411 -6.686" Properties=species:S:1:pos:R:3 pbc="T T T"
Pb 0.000 0.000 0.000
Pb 0.000 2.411 2.763
W 1.521 0.000 2.744
Au 0.000 0.000 5.099
```



No. 16
DFT (PBE) results for a relaxed PbWAu2 crystal.

Values from the calculation:
magnetic moment	0.34	μB per atom
calculated density	16.66	g/cm3
ΔH_f (0 K)	787	meV/atom
N(E_F)	1.05	states/eV/atom
V	19.560	A^3/atom

Geometry as extended XYZ:
```
4
Lattice="-2.111 2.111 4.389 2.111 -2.111 4.389 2.111 2.111 -4.389" Properties=species:S:1:pos:R:3 pbc="T T T"
Pb 0.000 0.000 0.000
W 2.111 0.000 2.195
Au 0.000 0.000 4.389
Au 0.000 2.111 2.195
```



No. 17
DFT (PBE) results for a relaxed PbWAu2 crystal.

Values from the calculation:
magnetic moment	0.26	μB per atom
calculated density	16.20	g/cm3
ΔH_f (0 K)	635	meV/atom
N(E_F)	0.64	states/eV/atom
V	20.119	A^3/atom

Geometry as extended XYZ:
```
4
Lattice="5.286 0.000 0.000 0.000 5.286 0.000 0.000 0.000 2.881" Properties=species:S:1:pos:R:3 pbc="T T T"
Pb 0.000 0.000 0.000
W 2.643 2.643 0.000
Au 0.000 2.643 1.440
Au 2.643 0.000 1.440
```



No. 18
DFT (PBE) results for a relaxed PbWAu crystal.

Values from the calculation:
magnetic moment	0.00	μB per atom
calculated density	15.61	g/cm3
excess energy over the best structure of this formula in the dataset	42.3	kJ/mol of formula units
ΔH_f (0 K)	853	meV/atom
N(E_F)	0.98	states/eV/atom
V	20.847	A^3/atom

Geometry as extended XYZ:
```
3
Lattice="-1.481 2.073 5.095 1.481 -2.073 5.095 1.481 2.073 -5.095" Properties=species:S:1:pos:R:3 pbc="T T T"
Pb 0.000 0.000 0.000
W 0.000 0.000 7.088
Au 0.000 0.000 3.117
```



No. 19
DFT (PBE) results for a relaxed PbWAu crystal.

Values from the calculation:
magnetic moment	0.00	μB per atom
calculated density	15.05	g/cm3
excess energy over the best structure of this formula in the dataset	0.0	kJ/mol of formula units
ΔH_f (0 K)	707	meV/atom
N(E_F)	1.05	states/eV/atom
V	21.632	A^3/atom

Geometry as extended XYZ:
```
3
Lattice="0.000 2.113 7.286 2.108 0.000 7.286 2.108 2.113 0.000" Properties=species:S:1:pos:R:3 pbc="T T T"
Pb 0.000 0.000 0.000
W 2.108 2.113 4.892
Au 2.108 2.113 10.351
```



No. 20
DFT (PBE) results for a relaxed Pb2WAu crystal.

Values from the calculation:
magnetic moment	0.18	μB per atom
calculated density	15.13	g/cm3
excess energy over the best structure of this formula in the dataset	155.0	kJ/mol of formula units
ΔH_f (0 K)	867	meV/atom
N(E_F)	0.54	states/eV/atom
V	21.816	A^3/atom

Geometry as extended XYZ:
```
4
Lattice="-2.231 2.231 4.384 2.231 -2.231 4.384 2.231 2.231 -4.384" Properties=species:S:1:pos:R:3 pbc="T T T"
Pb 2.231 0.000 2.192
Pb 0.000 2.231 2.192
W 0.000 0.000 0.000
Au 0.000 0.000 4.384
```